# TlPbO2F

A relaxed structure of TlPbO2F (PBEsol, Alexandria via LeMat-Bulk).

abc: 4.2930 4.2930 4.3826
angles: 90.00 90.00 90.00
Fractional coordinates of all 5 atoms:
1 Tl 0.0000 0.0000 0.0000
2 Pb 0.5000 0.5000 0.5000
3 O 0.0000 0.5000 0.0000
4 O 0.5000 0.0000 0.0000
5 F 0.0000 0.0000 0.5000

ρ   9.51 g/cm3
SG   No. 123
Uncorrected formation energy   -4.53 eV per formula unit
DFT total energy   -4.7165 eV per atom

# V3Pb5O12F

A relaxed structure of V3Pb5O12F (PBEsol, Alexandria via LeMat-Bulk).

abc: 10.0516 10.0516 7.2017
angles: 90.00 90.00 120.00
Fractional coordinates of all 42 atoms:
1 V 0.0216 0.6167 0.2500
2 V 0.3833 0.4049 0.2500
3 V 0.4049 0.0216 0.7500
4 V 0.5951 0.9784 0.2500
5 V 0.6167 0.5951 0.7500
6 V 0.9784 0.3833 0.7500
7 Pb 0.0120 0.2342 0.2500
8 Pb 0.2222 0.9880 0.2500
9 Pb 0.2342 0.2222 0.7500
10 Pb 0.3333 0.6667 0.5044
11 Pb 0.3333 0.6667 0.9956
12 Pb 0.6667 0.3333 0.0044
13 Pb 0.6667 0.3333 0.4956
14 Pb 0.7658 0.7778 0.2500
15 Pb 0.7778 0.0120 0.7500
16 Pb 0.9880 0.7658 0.7500
17 O 0.0882 0.7366 0.0622
18 O 0.0882 0.7366 0.4378
19 O 0.1064 0.5039 0.2500
20 O 0.1758 0.4906 0.7500
21 O 0.2634 0.3516 0.0622
22 O 0.2634 0.3516 0.4378
23 O 0.3149 0.8242 0.7500
24 O 0.3516 0.0882 0.5622
25 O 0.3516 0.0882 0.9378
26 O 0.3975 0.8936 0.2500
27 O 0.4906 0.3149 0.2500
28 O 0.4961 0.6025 0.2500
29 O 0.5039 0.3975 0.7500
30 O 0.5094 0.6851 0.7500
31 O 0.6025 0.1064 0.7500
32 O 0.6484 0.9118 0.0622
33 O 0.6484 0.9118 0.4378
34 O 0.6851 0.1758 0.2500
35 O 0.7366 0.6484 0.5622
36 O 0.7366 0.6484 0.9378
37 O 0.8242 0.5094 0.2500
38 O 0.8936 0.4961 0.7500
39 O 0.9118 0.2634 0.5622
40 O 0.9118 0.2634 0.9378
41 F 0.0000 0.0000 0.0000
42 F 0.0000 0.0000 0.5000

ρ   7.38 g/cm3
SG   No. 176
Uncorrected formation energy   -40.58 eV per formula unit
DFT total energy   -7.3522 eV per atom

# VPbOF5

A relaxed structure of VPbOF5 (PBEsol, Alexandria via LeMat-Bulk).

abc: 4.8390 9.8024 9.3277
angles: 90.00 90.00 90.00
Fractional coordinates of all 32 atoms:
1 V 0.1013 0.0489 0.2500
2 V 0.1013 0.4511 0.7500
3 V 0.8987 0.5489 0.2500
4 V 0.8987 0.9511 0.7500
5 Pb 0.4667 0.7500 0.0000
6 Pb 0.4667 0.7500 0.5000
7 Pb 0.5333 0.2500 0.0000
8 Pb 0.5333 0.2500 0.5000
9 O 0.1491 0.0546 0.7500
10 O 0.1491 0.4454 0.2500
11 O 0.8509 0.5546 0.7500
12 O 0.8509 0.9454 0.2500
13 F 0.0168 0.6695 0.1116
14 F 0.0168 0.6695 0.3884
15 F 0.0168 0.8305 0.6116
16 F 0.0168 0.8305 0.8884
17 F 0.3146 0.5317 0.6100
18 F 0.3146 0.5317 0.8900
19 F 0.3146 0.9683 0.1100
20 F 0.3146 0.9683 0.3900
21 F 0.4458 0.1862 0.2500
22 F 0.4458 0.3138 0.7500
23 F 0.5542 0.6862 0.2500
24 F 0.5542 0.8138 0.7500
25 F 0.6854 0.0317 0.6100
26 F 0.6854 0.0317 0.8900
27 F 0.6854 0.4683 0.1100
28 F 0.6854 0.4683 0.3900
29 F 0.9832 0.1695 0.1116
30 F 0.9832 0.1695 0.3884
31 F 0.9832 0.3305 0.6116
32 F 0.9832 0.3305 0.8884

ρ   5.54 g/cm3
SG   No. 57
Uncorrected formation energy   -20.57 eV per formula unit
DFT total energy   -6.1356 eV per atom

# ZnPbO2F

A relaxed structure of ZnPbO2F (PBEsol, Alexandria via LeMat-Bulk).

abc: 4.2135 4.2135 4.3512
angles: 90.00 90.00 90.00
Fractional coordinates of all 5 atoms:
1 Zn 0.0000 0.0000 0.0000
2 Pb 0.5000 0.5000 0.5000
3 O 0.0000 0.5000 0.5000
4 O 0.5000 0.0000 0.5000
5 F 0.5000 0.5000 0.0000

ρ   6.96 g/cm3
SG   No. 123
Uncorrected formation energy   -2.93 eV per formula unit
DFT total energy   -4.1880 eV per atom

# Zr3PbO4F6

A relaxed structure of Zr3PbO4F6 (PBEsol, Alexandria via LeMat-Bulk).

abc: 7.7058 7.7058 7.7058
angles: 60.00 60.00 60.00
Fractional coordinates of all 28 atoms:
1 Zr 0.2232 0.2232 0.7768
2 Zr 0.2232 0.7768 0.2232
3 Zr 0.2232 0.7768 0.7768
4 Zr 0.7768 0.2232 0.2232
5 Zr 0.7768 0.2232 0.7768
6 Zr 0.7768 0.7768 0.2232
7 Pb 0.2500 0.2500 0.2500
8 Pb 0.7500 0.7500 0.7500
9 O 0.1161 0.1161 0.1161
10 O 0.1161 0.1161 0.6517
11 O 0.1161 0.6517 0.1161
12 O 0.3483 0.8839 0.8839
13 O 0.6517 0.1161 0.1161
14 O 0.8839 0.3483 0.8839
15 O 0.8839 0.8839 0.3483
16 O 0.8839 0.8839 0.8839
17 F 0.1718 0.5000 0.5000
18 F 0.1718 0.5000 0.8282
19 F 0.1718 0.8282 0.5000
20 F 0.5000 0.1718 0.5000
21 F 0.5000 0.1718 0.8282
22 F 0.5000 0.5000 0.1718
23 F 0.5000 0.5000 0.8282
24 F 0.5000 0.8282 0.1718
25 F 0.5000 0.8282 0.5000
26 F 0.8282 0.1718 0.5000
27 F 0.8282 0.5000 0.1718
28 F 0.8282 0.5000 0.5000

ρ   6.76 g/cm3
SG   No. 225
Uncorrected formation energy   -47.47 eV per formula unit
DFT total energy   -7.9499 eV per atom

# Pd3OF

A relaxed structure of Pd3OF (PBEsol, Alexandria via LeMat-Bulk).

abc: 4.2298 4.2298 4.2298
angles: 90.00 90.00 90.00
Fractional coordinates of all 5 atoms:
1 Pd 0.0000 0.0000 0.5000
2 Pd 0.0000 0.5000 0.0000
3 Pd 0.5000 0.0000 0.0000
4 O 0.5000 0.5000 0.5000
5 F 0.0000 0.0000 0.0000

ρ   7.77 g/cm3
SG   No. 221
Uncorrected formation energy   4.74 eV per formula unit
DFT total energy   -4.0621 eV per atom

# PdOF2

A relaxed structure of PdOF2 (PBEsol, Alexandria via LeMat-Bulk).

abc: 3.8542 3.8542 3.8542
angles: 60.00 60.00 60.00
Fractional coordinates of all 4 atoms:
1 Pd 0.0000 0.0000 0.0000
2 O 0.5000 0.5000 0.5000
3 F 0.2500 0.2500 0.2500
4 F 0.7500 0.7500 0.7500

ρ   6.58 g/cm3
SG   No. 225
Uncorrected formation energy   0.49 eV per formula unit
DFT total energy   -3.6430 eV per atom

# PdOF3

A relaxed structure of PdOF3 (PBEsol, Alexandria via LeMat-Bulk).

abc: 3.7848 3.7848 3.7848
angles: 90.00 90.00 90.00
Fractional coordinates of all 5 atoms:
1 Pd 0.0000 0.0000 0.0000
2 O 0.5000 0.5000 0.5000
3 F 0.0000 0.5000 0.5000
4 F 0.5000 0.0000 0.5000
5 F 0.5000 0.5000 0.0000

ρ   5.50 g/cm3
SG   No. 221
Uncorrected formation energy   1.71 eV per formula unit
DFT total energy   -3.0569 eV per atom

# PdRhOF2

A relaxed structure of PdRhOF2 (PBEsol, Alexandria via LeMat-Bulk).

abc: 4.1150 4.1150 3.8768
angles: 90.00 90.00 90.00
Fractional coordinates of all 5 atoms:
1 Pd 0.0000 0.0000 0.0000
2 Rh 0.5000 0.5000 0.5000
3 O 0.0000 0.0000 0.5000
4 F 0.0000 0.5000 0.0000
5 F 0.5000 0.0000 0.0000

ρ   6.66 g/cm3
SG   No. 123
Uncorrected formation energy   0.09 eV per formula unit
DFT total energy   -4.6220 eV per atom

# SiPdOF2

A relaxed structure of SiPdOF2 (PBEsol, Alexandria via LeMat-Bulk).

abc: 4.0858 4.0858 4.0170
angles: 90.00 90.00 90.00
Fractional coordinates of all 5 atoms:
1 Si 0.0000 0.0000 0.0000
2 Pd 0.5000 0.5000 0.5000
3 O 0.5000 0.5000 0.0000
4 F 0.0000 0.5000 0.5000
5 F 0.5000 0.0000 0.5000

ρ   4.67 g/cm3
SG   No. 123
Uncorrected formation energy   -2.16 eV per formula unit
DFT total energy   -4.5939 eV per atom

# SnPdOF2

A relaxed structure of SnPdOF2 (PBEsol, Alexandria via LeMat-Bulk).

abc: 4.1518 4.1518 4.1092
angles: 90.00 90.00 90.00
Fractional coordinates of all 5 atoms:
1 Sn 0.0000 0.0000 0.0000
2 Pd 0.5000 0.5000 0.5000
3 O 0.5000 0.5000 0.0000
4 F 0.0000 0.5000 0.5000
5 F 0.5000 0.0000 0.5000

ρ   6.54 g/cm3
SG   No. 123
Uncorrected formation energy   -4.71 eV per formula unit
DFT total energy   -4.8061 eV per atom

# TaPdO2F

A relaxed structure of TaPdO2F (PBEsol, Alexandria via LeMat-Bulk).

abc: 3.9190 3.9190 4.0765
angles: 90.00 90.00 90.00
Fractional coordinates of all 5 atoms:
1 Ta 0.0000 0.0000 0.0000
2 Pd 0.5000 0.5000 0.5000
3 O 0.0000 0.5000 0.0000
4 O 0.5000 0.0000 0.0000
5 F 0.0000 0.0000 0.5000

ρ   8.97 g/cm3
SG   No. 123
Uncorrected formation energy   -8.36 eV per formula unit
DFT total energy   -7.8591 eV per atom